[1]
12
Lattice="9.050 0.000 0.000 0.000 3.418 0.000 -2.271 0.000 6.123" Properties=species:S:1:pos:R:3 comment="HfNiPd | Alexandria via LeMat-Bulk | PBE | relaxed" total_energy_ev_per_atom=-7.5714 m_tot_mub_per_atom=0.0000 formation_energy_ev_per_fu=-1.79 pbc="T T T"
Hf 0.000 0.000 0.000
Hf -1.135 0.000 3.062
Hf 4.525 1.709 0.000
Hf 3.390 1.709 3.062
Ni 0.661 1.709 2.109
Ni 1.593 0.000 4.014
Ni 5.186 0.000 2.109
Ni 6.118 1.709 4.014
Pd -0.325 1.709 5.016
Pd 2.579 0.000 1.107
Pd 4.200 0.000 5.016
Pd 7.104 1.709 1.107


[2]
5
Lattice="4.447 0.000 0.000 -2.223 3.851 0.000 0.000 0.000 5.594" Properties=species:S:1:pos:R:3 comment="ZnIn2Pt2 | Alexandria via LeMat-Bulk | PBE | relaxed" total_energy_ev_per_atom=-4.2576 m_tot_mub_per_atom=0.0000 formation_energy_ev_per_fu=-2.46 pbc="T T T"
Zn 0.000 0.000 0.000
In 0.000 2.567 1.953
In 2.223 1.284 3.642
Pt 0.000 2.567 4.737
Pt 2.223 1.284 0.857


[3]
16
Lattice="6.681 0.000 0.000 0.000 6.681 0.000 0.000 0.000 6.681" Properties=species:S:1:pos:R:3 comment="KZrRh2 | Alexandria via LeMat-Bulk | PBE | relaxed" total_energy_ev_per_atom=-5.5510 m_tot_mub_per_atom=0.0001 formation_energy_ev_per_fu=2.14 pbc="T T T"
K 0.000 0.000 0.000
K 0.000 3.340 3.340
K 3.340 0.000 3.340
K 3.340 3.340 0.000
Zr 1.670 1.670 5.011
Zr 1.670 5.011 1.670
Zr 5.011 1.670 1.670
Zr 5.011 5.011 5.011
Rh 0.000 0.000 3.340
Rh 0.000 3.340 0.000
Rh 1.670 1.670 1.670
Rh 1.670 5.011 5.011
Rh 3.340 0.000 0.000
Rh 3.340 3.340 3.340
Rh 5.011 1.670 5.011
Rh 5.011 5.011 1.670


[4]
10
Lattice="0.000 5.760 5.760 5.760 0.000 5.760 5.760 5.760 0.000" Properties=species:S:1:pos:R:3 comment="Rb2CaInBr6 | Alexandria via LeMat-Bulk | PBE | relaxed" e_form_raw_ev_per_atom=-1.477 total_energy_ev_per_atom=-3.1485 m_tot_mub_per_atom=0.0001 pbc="T T T"
Rb 2.880 2.880 2.880
Rb 8.640 8.640 8.640
Ca 0.000 0.000 0.000
In 5.760 5.760 5.760
Br 5.760 5.760 2.873
Br 5.760 2.873 5.760
Br 8.647 5.760 5.760
Br 2.873 5.760 5.760
Br 5.760 8.647 5.760
Br 5.760 5.760 8.647


[5]
12
Lattice="4.389 -7.633 0.000 4.389 7.633 0.000 -2.949 0.000 4.156" Properties=species:S:1:pos:R:3 comment="HfSc5Tl6 | Alexandria via LeMat-Bulk | PBE | relaxed" total_energy_ev_per_atom=-4.8159 m_tot_mub_per_atom=0.0000 formation_energy_ev_per_fu=-1.98 pbc="T T T"
Hf 0.000 0.000 0.000
Sc 2.914 5.164 2.078
Sc 4.389 2.577 0.000
Sc 2.914 0.000 2.078
Sc 4.389 -2.577 0.000
Sc 2.914 -5.164 2.078
Tl 1.470 2.556 1.048
Tl 0.007 0.000 3.134
Tl 1.470 -2.556 1.048
Tl 4.359 2.556 3.108
Tl 5.822 0.000 1.022
Tl 4.359 -2.556 3.108


[6]
15
Lattice="4.088 2.360 7.828 -4.088 2.360 7.828 0.000 -4.720 7.828" Properties=species:S:1:pos:R:3 comment="Pu3TiTl3Se8 | Alexandria via LeMat-Bulk | PBE | relaxed" e_form_raw_ev_per_atom=-1.089 total_energy_ev_per_atom=-6.8137 m_tot_mub_per_atom=1.0000 pbc="T T T"
Pu -2.044 -1.180 7.828
Pu -2.044 1.180 15.656
Pu 0.000 2.360 7.828
Ti 0.000 0.000 0.000
Tl -4.088 0.000 11.742
Tl -2.044 1.180 3.914
Tl 2.044 1.180 3.914
Se 0.000 -2.544 9.339
Se -2.203 1.272 9.339
Se -2.203 -1.272 14.145
Se 0.000 0.000 6.208
Se 0.000 0.000 17.276
Se 2.203 1.272 9.339
Se 2.203 -1.272 14.145
Se 0.000 2.544 14.145


[7]
16
Lattice="6.247 0.000 0.000 0.000 6.247 0.000 0.000 0.000 6.247" Properties=species:S:1:pos:R:3 comment="ScVReRh | Alexandria via LeMat-Bulk | PBE | relaxed" total_energy_ev_per_atom=-9.1745 m_tot_mub_per_atom=0.0000 formation_energy_ev_per_fu=-1.45 pbc="T T T"
Sc 0.000 0.000 0.000
Sc 0.000 3.124 3.124
Sc 3.124 0.000 3.124
Sc 3.124 3.124 0.000
V 0.000 0.000 3.124
V 0.000 3.124 0.000
V 3.124 0.000 0.000
V 3.124 3.124 3.124
Re 1.562 1.562 1.562
Re 1.562 4.685 4.685
Re 4.685 1.562 4.685
Re 4.685 4.685 1.562
Rh 1.562 1.562 4.685
Rh 1.562 4.685 1.562
Rh 4.685 1.562 1.562
Rh 4.685 4.685 4.685


[8]
80
Lattice="-8.048 8.048 8.048 8.048 -8.048 8.048 8.048 8.048 -8.048" Properties=species:S:1:pos:R:3 comment="Ag12Te5Se3 | Alexandria via LeMat-Bulk | PBE | relaxed" e_form_raw_ev_per_atom=0.028 total_energy_ev_per_atom=-2.9905 m_tot_mub_per_atom=0.0000 pbc="T T T"
Ag 7.762 -1.395 2.436
Ag 12.358 -1.588 2.629
Ag 2.436 -0.286 1.395
Ag 9.636 5.419 -4.310
Ag 10.484 0.286 1.395
Ag 9.636 -2.629 4.310
Ag 1.395 2.436 -0.286
Ag 10.677 3.738 -1.588
Ag 5.419 4.310 -1.588
Ag 6.653 2.436 0.286
Ag -0.286 1.395 2.436
Ag 4.310 -1.588 5.419
Ag 7.762 6.653 -2.436
Ag 4.310 1.588 2.629
Ag 6.653 -2.436 7.762
Ag 5.419 -4.310 9.636
Ag 2.629 4.310 1.588
Ag 9.443 5.612 0.286
Ag 2.436 7.762 -1.395
Ag 9.636 2.629 3.738
Ag 1.588 2.629 4.310
Ag 2.436 0.286 6.653
Ag 4.310 9.636 -2.629
Ag 7.762 1.395 5.612
Ag 0.286 6.653 2.436
Ag 3.738 -1.588 10.677
Ag 5.612 7.762 1.395
Ag 6.460 5.419 3.738
Ag -1.588 5.419 4.310
Ag 5.612 0.286 9.443
Ag -1.395 2.436 7.762
Ag 5.419 3.738 6.460
Ag 2.629 12.358 -1.588
Ag 1.395 10.484 0.286
Ag 3.738 6.460 5.419
Ag 0.286 1.395 10.484
Ag 3.738 9.636 2.629
Ag 8.334 6.653 5.612
Ag 1.395 5.612 7.762
Ag 2.629 3.738 9.636
Ag -2.629 4.310 9.636
Ag 6.653 5.612 8.334
Ag -1.588 10.677 3.738
Ag -2.436 7.762 6.653
Ag -1.588 2.629 12.358
Ag 5.612 8.334 6.653
Ag -4.310 9.636 5.419
Ag 0.286 9.443 5.612
Te 0.000 0.000 0.000
Te 4.024 4.024 -4.024
Te 4.024 -4.024 4.024
Te 8.048 0.000 0.000
Te 12.072 2.012 0.000
Te 8.048 -4.024 6.036
Te 6.036 8.048 -4.024
Te 6.036 0.000 4.024
Te 4.024 6.036 0.000
Te 8.048 4.024 2.012
Te -4.024 4.024 4.024
Te 0.000 8.048 0.000
Te 0.000 0.000 8.048
Te 4.024 4.024 4.024
Te 0.000 4.024 6.036
Te 4.024 2.012 8.048
Te 2.012 8.048 4.024
Te 2.012 0.000 12.072
Te 0.000 12.072 2.012
Te -4.024 6.036 8.048
Se 4.024 2.012 0.000
Se 8.048 4.024 -2.012
Se 2.012 0.000 4.024
Se 10.060 0.000 4.024
Se 0.000 4.024 2.012
Se 4.024 -2.012 8.048
Se 4.024 10.060 0.000
Se 8.048 4.024 6.036
Se -2.012 8.048 4.024
Se 6.036 8.048 4.024
Se 0.000 4.024 10.060
Se 4.024 6.036 8.048


[9]
16
Lattice="4.671 0.000 0.000 0.000 4.671 0.000 0.000 0.000 16.558" Properties=species:S:1:pos:R:3 comment="Nb2TeCl | Alexandria via LeMat-Bulk | PBE | relaxed" e_form_raw_ev_per_atom=0.174 total_energy_ev_per_atom=-6.1079 m_tot_mub_per_atom=0.0000 pbc="T T T"
Nb 0.853 1.168 2.070
Nb 1.168 3.188 6.209
Nb 1.168 3.819 14.488
Nb 1.483 1.168 10.349
Nb 3.188 3.504 10.349
Nb 3.504 0.853 14.488
Nb 3.504 1.483 6.209
Nb 3.819 3.504 2.070
Te 0.000 0.000 8.279
Te 0.000 2.336 12.419
Te 2.336 0.000 4.140
Te 2.336 2.336 0.000
Cl 0.000 0.000 0.000
Cl 0.000 2.336 4.140
Cl 2.336 0.000 12.419
Cl 2.336 2.336 8.279


[10]
5
Lattice="7.939 0.000 0.000 0.000 7.939 0.000 0.000 0.000 6.090" Properties=species:S:1:pos:R:3 comment="K2LaZnBi | Alexandria via LeMat-Bulk | PBE | relaxed" total_energy_ev_per_atom=-2.0153 m_tot_mub_per_atom=0.0000 formation_energy_ev_per_fu=2.20 pbc="T T T"
K 0.000 3.969 0.000
K 3.969 0.000 0.000
La 0.000 0.000 0.000
Zn 3.969 3.969 3.045
Bi 0.000 0.000 3.045


[11]
16
Lattice="6.329 0.000 0.000 0.000 4.474 4.490 0.000 -4.474 4.490" Properties=species:S:1:pos:R:3 comment="Tc3W13 | Alexandria via LeMat-Bulk | PBE | relaxed" total_energy_ev_per_atom=-12.4345 m_tot_mub_per_atom=0.0000 formation_energy_ev_per_fu=0.54 pbc="T T T"
Tc 0.000 0.000 0.000
Tc 1.596 0.000 2.359
Tc 4.733 0.000 2.359
W 0.000 -2.218 2.307
W 0.000 2.218 2.307
W 0.000 0.000 4.574
W 1.582 -2.239 4.579
W 1.583 0.000 6.817
W 1.582 2.239 4.579
W 3.164 -2.257 2.311
W 3.164 0.000 0.076
W 3.164 0.000 4.548
W 3.164 2.257 2.311
W 4.746 -2.239 4.579
W 4.746 0.000 6.817
W 4.746 2.239 4.579


[12]
5
Lattice="4.837 0.000 0.000 0.000 4.837 0.000 0.000 0.000 4.699" Properties=species:S:1:pos:R:3 comment="YZrRuW2 | Alexandria via LeMat-Bulk | PBE | relaxed" total_energy_ev_per_atom=-7.8089 m_tot_mub_per_atom=0.0000 formation_energy_ev_per_fu=11.15 pbc="T T T"
Y 0.000 0.000 0.000
Zr 2.419 2.419 2.350
Ru 0.000 0.000 2.350
W 0.000 2.419 0.000
W 2.419 0.000 0.000